(1)
BaPtSe: optimized geometry, PBE.

Structure (extended XYZ):
```
3
Lattice="-2.6068 2.6149 2.5997 -1.5593 -3.9643 -1.4980 1.6280 -2.0280 3.6723" Properties=species:S:1:pos:R:3 pbc="T T T"
Ba 1.6277 -2.0277 3.6717
Pt -1.4435 -0.5925 3.0704
Se -1.0944 -2.7854 1.7042
```

## Properties
Crystal system: hexagonal

=====

(2)
Tb7Ho4Tm: optimized geometry, PBE.

Structure (extended XYZ):
```
12
Lattice="6.8367 1.8283 0.9070 5.0899 7.5401 2.4736 -1.0324 -0.4522 8.7146" Properties=species:S:1:pos:R:3 pbc="T T T"
Tb 3.4183 0.9141 0.4535
Tb 3.5216 5.3377 4.7167
Tb 6.1036 2.9385 4.1622
Tb 4.7906 5.9777 7.9330
Tb 3.2180 3.7728 10.1753
Tb 7.6762 5.1433 1.9199
Tb 7.3725 3.5784 7.3784
Tm 0.0000 0.0000 0.0000
Ho 2.6846 2.0255 3.7102
Ho 8.2096 6.8907 8.3850
Ho 6.9399 6.2549 5.1658
Ho 3.9542 2.6612 6.9293
```

## Properties
Formation enthalpy at 0 K: 0.0004 eV/atom
Energy above the most stable polymorph in this dataset: 0 meV per atom
Crystal system: triclinic

=====

(3)
Hf6Au3N2: optimized geometry, PBE.

Structure (extended XYZ):
```
11
Lattice="3.2429 0.0000 0.5577 1.5735 2.8356 0.5577 -1.8938 -1.1150 20.7205" Properties=species:S:1:pos:R:3 pbc="T T T"
Au 2.0477 1.2056 17.2158
Au 0.0000 0.0000 0.0000
Au 0.8749 0.5151 4.6201
Hf -0.7810 -0.4598 14.2496
Hf 0.0812 0.0478 18.9436
Hf 2.8466 1.6759 12.5703
Hf 3.7037 2.1805 7.5863
Hf 2.8415 1.6729 2.8923
Hf 0.0761 0.0448 9.2655
N 1.0269 0.6046 13.4441
N 1.8957 1.1161 8.3918
```

## Properties
Crystal system: trigonal

=====

Calculated total energy in order - -4.97 -4.60 -8.67 eV/atom